1.
## K2Cl3 (meta-GGA SCAN)

Data for a PBEsol-optimized structure of K2Cl3.

a b c (Å): 11.5094 33.6099 3.2207
angles (deg): 90.00 90.00 90.00
Space group Fdd2 (No. 43)
Unique sites:
K1 0.0092 0.0767 0.0000
Cl1 0.0000 0.0000 0.5015
Cl2 0.0071 0.1570 0.4827

Calculated values
As for the calculated total energy: -383.19 eV/cell. Its spin magnetization is 0.00 μB/f.u. The calculated volume is 1246 Å³/cell.



2.
## TaMo (meta-GGA SCAN)

Data for a PBEsol-optimized structure of TaMo.

a b c (Å): 5.4917 9.1151 5.5214
angles (deg): 90.00 109.25 90.00
Space group C2/c (No. 15)
Unique sites:
Ta1 0.0000 0.0075 0.2500
Ta2 0.2500 0.2500 0.0000
Mo1 0.0000 0.4962 0.2500
Mo2 0.2500 0.2500 0.5000

Calculated values
The calculation puts the energy of formation from the pure elements at -0.1575 eV/atom. Its spin magnetization is 0.00 μB/f.u. The calculated volume is 261 Å³/cell.



3.
## ReOsSe3 (meta-GGA SCAN)

Data for a PBEsol-optimized structure of ReOsSe3.

a b c (Å): 4.7786 4.7786 4.7786
angles (deg): 90.00 90.00 90.00
Space group Pm-3m (No. 221)
Unique sites:
Re1 0.0000 0.0000 0.0000
Os1 0.5000 0.5000 0.5000
Se1 0.0000 0.5000 0.5000

Calculated values
As for the calculated total energy: -195.15 eV/cell. Its spin magnetization is 2.45 μB/f.u. The calculated volume is 109 Å³/cell.



4.
## Ca2Sc2Br (meta-GGA SCAN)

Data for a PBEsol-optimized structure of Ca2Sc2Br.

a b c (Å): 3.8966 3.8966 19.8592
angles (deg): 90.00 90.00 90.00
Space group I4/mmm (No. 139)
Unique sites:
Ca1 0.0000 0.0000 0.1051
Sc1 0.0000 0.5000 0.2500
Br1 0.0000 0.0000 0.5000

Calculated values
As for the calculated total energy: -136.60 eV/cell. Its spin magnetization is 0.00 μB/f.u. The calculated volume is 302 Å³/cell.



5.
## MnCoIr2 (meta-GGA SCAN)

Data for a PBEsol-optimized structure of MnCoIr2.

a b c (Å): 2.7593 4.3845 8.7418
angles (deg): 90.00 90.00 90.00
Space group Immm (No. 71)
Unique sites:
Mn1 0.0000 0.0000 0.0000
Co1 0.0000 0.0000 0.5000
Ir1 0.0000 0.5000 0.2669

Calculated values
The calculation puts the energy of formation from the pure elements at -0.1114 eV/atom. Its spin magnetization is 5.08 μB/f.u. The calculated volume is 106 Å³/cell.



6.
## Na2MgB4H20N4 (meta-GGA SCAN)

Data for a PBEsol-optimized structure of Na2MgB4H20N4.

a b c (Å): 9.2443 9.2443 12.2061
angles (deg): 90.00 90.00 90.00
Space group I4_1/a (No. 88, origin choice 2)
Unique sites:
Na1 0.0000 0.0000 0.0000
Mg1 0.0000 0.2500 0.6250
B1 0.0412 0.4929 0.2303
H1 0.0096 0.4064 0.3044
H2 0.0661 0.4129 0.4578
H3 0.0734 0.4617 0.8095
H4 0.1062 0.4240 0.1580
H5 0.1598 0.4751 0.5609
N1 0.1267 0.3803 0.5242

Calculated values
As for the calculated total energy: -652.82 eV/cell. Its spin magnetization is 0.00 μB/f.u. The calculated volume is 1043 Å³/cell.



Which of these has the lowest calculated volume?
MnCoIr2



Which value of calculated volume does entry 2 give?
261 Å³/cell



Which value of calculated volume does entry 4 give?
302 Å³/cell



Among the records above, which one has the lowest calculated volume?
MnCoIr2